Entry 1:
# HfVBiI2 PBE relaxed
data_HfVBiI2
_chemical_formula_sum 'Hf1 V1 Bi1 I2'
_symmetry_space_group_name_H-M 'P 4/m m m'
_symmetry_Int_Tables_number 123
_symmetry_space_group_name_Hall '-P 4 2'
_cell_length_a 5.255
_cell_length_b 5.255
_cell_length_c 5.667
_cell_angle_alpha 90.00
_cell_angle_beta 90.00
_cell_angle_gamma 90.00
loop_
_atom_site_label
_atom_site_type_symbol
_atom_site_fract_x
_atom_site_fract_y
_atom_site_fract_z
_atom_site_occupancy
Hf1 Hf 0.000 0.000 0.000 1
V1 V 0.500 0.500 0.500 1
Bi1 Bi 0.500 0.500 0.000 1
I1 I 0.000 0.500 0.500 1
# total moment = 3.9 μB/f.u.
# E_form (uncorrected) = 0.737 eV per atom

Entry 2:
# BeZnSe2 PBE relaxed
data_BeZnSe2
_chemical_formula_sum 'Be1 Zn1 Se2'
_symmetry_space_group_name_H-M 'P 1 m 1'
_symmetry_Int_Tables_number 6
_cell_length_a 3.885
_cell_length_b 3.885
_cell_length_c 6.448
_cell_angle_alpha 90.00
_cell_angle_beta 91.24
_cell_angle_gamma 90.00
loop_
_symmetry_equiv_pos_as_xyz
'x,y,z'
'x,-y,z'
loop_
_atom_site_label
_atom_site_type_symbol
_atom_site_fract_x
_atom_site_fract_y
_atom_site_fract_z
_atom_site_occupancy
Be1 Be 0.000 0.000 0.000 1
Zn1 Zn 0.500 0.500 0.000 1
Se1 Se 0.008 0.500 0.224 1
Se2 Se 0.492 0.000 0.775 1
# total moment = 0.0 μB/f.u.
# E_form (uncorrected) = -0.538 eV per atom
# distance to the lowest polymorph of the same formula = 0.208 eV per atom

Entry 3:
# Ca5Ac4Ru PBE relaxed
data_Ca5Ac4Ru
_chemical_formula_sum 'Ca10 Ac8 Ru2'
_symmetry_space_group_name_H-M 'C 1 2/m 1'
_symmetry_Int_Tables_number 12
_cell_length_a 19.289
_cell_length_b 4.008
_cell_length_c 11.237
_cell_angle_alpha 90.00
_cell_angle_beta 99.50
_cell_angle_gamma 90.00
loop_
_symmetry_equiv_pos_as_xyz
'x,y,z'
'-x,-y,-z'
'-x,y,-z'
'x,-y,z'
'x+1/2,y+1/2,z'
'-x+1/2,-y+1/2,-z'
'-x+1/2,y+1/2,-z'
'x+1/2,-y+1/2,z'
loop_
_atom_site_label
_atom_site_type_symbol
_atom_site_fract_x
_atom_site_fract_y
_atom_site_fract_z
_atom_site_occupancy
Ca1 Ca 0.000 0.000 0.000 1
Ca2 Ca 0.172 0.500 0.217 1
Ca3 Ca 0.178 0.500 0.888 1
Ac1 Ac 0.002 0.500 0.683 1
Ac2 Ac 0.155 0.000 0.536 1
Ru1 Ru 0.000 0.000 0.500 1
# total moment = 0.0 μB/f.u.
# raw total energy = -0.2621 Ry per atom

Entry 4:
# MgCoHg2 PBE relaxed
data_MgCoHg2
_chemical_formula_sum 'Mg1 Co1 Hg2'
_symmetry_space_group_name_H-M 'P 1 2/m 1'
_symmetry_Int_Tables_number 10
_cell_length_a 4.766
_cell_length_b 3.236
_cell_length_c 5.180
_cell_angle_alpha 90.00
_cell_angle_beta 110.23
_cell_angle_gamma 90.00
loop_
_symmetry_equiv_pos_as_xyz
'x,y,z'
'-x,-y,-z'
'-x,y,-z'
'x,-y,z'
loop_
_atom_site_label
_atom_site_type_symbol
_atom_site_fract_x
_atom_site_fract_y
_atom_site_fract_z
_atom_site_occupancy
Mg1 Mg 0.000 0.000 0.000 1
Co1 Co 0.000 0.500 0.500 1
Hg1 Hg 0.500 0.000 0.500 1
Hg2 Hg 0.500 0.500 0.000 1
# total moment = 1.3 μB/f.u.
# raw total energy = -0.1532 Ry per atom

Entry 5:
# CePuPd2 PBE relaxed
data_CePuPd2
_chemical_formula_sum 'Ce2 Pu2 Pd4'
_symmetry_space_group_name_H-M 'C 1 m 1'
_symmetry_Int_Tables_number 8
_cell_length_a 6.662
_cell_length_b 7.280
_cell_length_c 3.572
_cell_angle_alpha 90.00
_cell_angle_beta 90.06
_cell_angle_gamma 90.00
loop_
_symmetry_equiv_pos_as_xyz
'x,y,z'
'x,-y,z'
'x+1/2,y+1/2,z'
'x+1/2,-y+1/2,z'
loop_
_atom_site_label
_atom_site_type_symbol
_atom_site_fract_x
_atom_site_fract_y
_atom_site_fract_z
_atom_site_occupancy
Ce1 Ce 0.000 0.000 0.000 1
Pu1 Pu 0.084 0.500 0.002 1
Pd1 Pd 0.294 0.204 0.501 1
# total moment = 6.2 μB/f.u.
# raw total energy = -0.6036 Ry per atom

Entry 6:
# HfTi2Pd PBE relaxed
data_HfTi2Pd
_chemical_formula_sum 'Hf4 Ti8 Pd4'
_symmetry_space_group_name_H-M 'I -4 2 d'
_symmetry_Int_Tables_number 122
_symmetry_space_group_name_Hall 'I -4 2bw'
_cell_length_a 7.403
_cell_length_b 7.403
_cell_length_c 5.510
_cell_angle_alpha 90.00
_cell_angle_beta 90.00
_cell_angle_gamma 90.00
loop_
_atom_site_label
_atom_site_type_symbol
_atom_site_fract_x
_atom_site_fract_y
_atom_site_fract_z
_atom_site_occupancy
Hf1 Hf 0.000 0.000 0.000 1
Ti1 Ti 0.213 0.250 0.625 1
Pd1 Pd 0.000 0.000 0.500 1
# total moment = 0.0 μB/f.u.
# distance to the lowest polymorph of the same formula = 0.373 eV per atom

Entry 7:
# Mn2MoRu PBE relaxed
data_Mn2MoRu
_chemical_formula_sum 'Mn4 Mo2 Ru2'
_symmetry_space_group_name_H-M 'I 4/m m m'
_symmetry_Int_Tables_number 139
_symmetry_space_group_name_Hall '-I 4 2'
_cell_length_a 3.774
_cell_length_b 3.774
_cell_length_c 7.438
_cell_angle_alpha 90.00
_cell_angle_beta 90.00
_cell_angle_gamma 90.00
loop_
_atom_site_label
_atom_site_type_symbol
_atom_site_fract_x
_atom_site_fract_y
_atom_site_fract_z
_atom_site_occupancy
Mn1 Mn 0.000 0.500 0.250 1
Mo1 Mo 0.000 0.000 0.000 1
Ru1 Ru 0.000 0.000 0.500 1
# total moment = 2.8 μB/f.u.
# raw total energy = -0.6969 Ry per atom

Entry 8:
# TmZr2GaRu4 PBE relaxed
data_TmZr2GaRu4
_chemical_formula_sum 'Tm3 Zr6 Ga3 Ru12'
_symmetry_space_group_name_H-M 'R -3 m'
_symmetry_Int_Tables_number 166
_symmetry_space_group_name_Hall '-R 3 2"'
_cell_length_a 4.5814
_cell_length_b 4.5814
_cell_length_c 22.3952
_cell_angle_alpha 90.00
_cell_angle_beta 90.00
_cell_angle_gamma 120.00
loop_
_atom_site_label
_atom_site_type_symbol
_atom_site_fract_x
_atom_site_fract_y
_atom_site_fract_z
_atom_site_occupancy
Tm1 Tm 0.0000 0.0000 0.0000 1
Zr1 Zr 0.0000 0.0000 0.2441 1
Ga1 Ga 0.0000 0.0000 0.5000 1
Ru1 Ru 0.0000 0.0000 0.1259 1
Ru2 Ru 0.0000 0.0000 0.3790 1
# total moment = 0.0 μB/f.u.
# raw total energy = -0.6060 Ry per atom